Crystalline Ce2YAg2Hg2 at its relaxed geometry. Source: the Alexandria database, functional GGA-PBE.

Lattice parameters (Å, degrees): 4.8646 4.8646 8.6093 73.59 73.59 60.00
Last column: nearest neighbours and their distance in Å.
Element x y z (fractional)
Ce 0.8585 0.8585 0.4246  3 Ce 3.06, 3 Ag 3.18, 1 Hg 3.21
Ce 0.1415 0.1415 0.5754  3 Ce 3.06, 3 Ag 3.18, 1 Hg 3.21
Hg 0.7268 0.7268 0.8196  3 Ag 2.85, 3 Y 3.17
Hg 0.2732 0.2732 0.1804  3 Ag 2.85, 3 Y 3.17
Ag 0.5859 0.5859 0.2422  3 Hg 2.85, 3 Ce 3.18
Ag 0.4141 0.4141 0.7578  3 Hg 2.85, 3 Ce 3.18
Y 0.0000 0.0000 0.0000  6 Hg 3.17, 6 Ag 3.43, 2 Ce 3.46

## Properties
Its space group is R-3m, No. 166. For the density of states at the Fermi level, the calculation gives 1.796 states/eV/atom. Its calculated formation energy is -190 meV per atom.

=====

Crystalline Sr4U3CdAs8 at its relaxed geometry. Source: the Alexandria database, functional GGA-PBE.

Lattice parameters (Å, degrees): 8.4914 8.6390 8.4918 119.44 120.00 90.00
Last column: nearest neighbours and their distance in Å.
Element x y z (fractional)
As 0.7386 0.7157 0.4771  3 U 2.89, 3 Sr 3.18
As 0.2446 0.7159 0.9713  2 U 2.86, 1 Cd 2.97, 1 Sr 3.11
As 0.7553 0.2841 0.5106  2 U 2.86, 1 Cd 2.97, 1 Sr 3.11
As 0.7554 0.2841 0.0287  2 U 2.86, 1 Cd 2.97, 1 Sr 3.11
As 0.7266 0.7159 0.9713  2 U 2.86, 1 Cd 2.97, 1 Sr 3.11
As 0.2447 0.7159 0.4894  2 U 2.86, 1 Cd 2.97, 1 Sr 3.11
As 0.2614 0.2843 0.5229  3 U 2.89, 3 Sr 3.18
As 0.2734 0.2841 0.0287  2 U 2.86, 1 Cd 2.97, 1 Sr 3.11
Cd 0.0000 0.5000 0.0000  6 As 2.97
U 0.5000 0.5000 0.0000  6 As 2.86-2.89
U 0.5000 0.5000 0.5000  6 As 2.86-2.89
U 0.0000 0.5000 0.5000  6 As 2.86-2.89
Sr 0.0000 0.0000 0.0000  6 As 3.18-3.21
Sr 0.5000 0.0000 0.0000  6 As 3.11
Sr 0.5000 0.0000 0.5000  6 As 3.18-3.21
Sr 0.0000 0.0000 0.5000  6 As 3.18-3.21

## Properties
Its space group is R-3m, No. 166. For the density of states at the Fermi level, the calculation gives 1.131 states/eV/atom. Its calculated formation energy is -830 meV per atom.

=====

Crystalline Li2ErMg at its relaxed geometry. Source: the Alexandria database, functional GGA-PBE.

Lattice parameters (Å, degrees): 3.5632 3.5632 7.1329 90.00 90.00 90.00
Last column: nearest neighbours and their distance in Å.
Element x y z (fractional)
Mg 0.5000 0.5000 0.0000  8 Li 2.96
Er 0.5000 0.5000 0.5000  8 Li 3.22, 4 Er 3.56, 2 Mg 3.57
Li 0.0000 0.0000 0.2185  4 Mg 2.96, 1 Li 3.12, 4 Er 3.22
Li 0.0000 0.0000 0.7815  4 Mg 2.96, 1 Li 3.12, 4 Er 3.22

## Properties
Its space group is P4/mmm, No. 123. As for the energy above the most stable polymorph in this dataset: 0.0000 eV/atom. For the density of states at the Fermi level, the calculation gives 0.796 states/eV/atom. Its calculated formation energy is 70 meV per atom.